The following is a DFT calculation (GGA+U) of a relaxed V2TcBiO8 crystal.

Total magnetic moment ... 8.03 μB/cell
Calculated density ... 6.232 g cm⁻³
E_tot ... -175.451 eV/cell

Structure (CIF):
```
data_V2TcBiO8
_cell_length_a 6.595
_cell_length_b 6.754
_cell_length_c 6.423
_cell_angle_alpha 90.00
_cell_angle_beta 90.00
_cell_angle_gamma 90.00
_symmetry_space_group_name_H-M 'C m m m'
_symmetry_Int_Tables_number 65
_symmetry_space_group_name_Hall '-C 2 2'
loop_
_atom_site_label
_atom_site_fract_x
_atom_site_fract_y
_atom_site_fract_z
V1 0.000 0.000 0.247
Tc1 0.000 0.500 0.000
Bi1 0.000 0.500 0.500
O1 0.000 0.171 0.500
O2 0.000 0.203 0.000
O3 0.212 0.500 0.216
```